Density functional theory data (PBE) for an optimized crystal structure of DyY2Te.

Output
**E_form (uncorrected)**: -0.567 eV per atom
**Fermi-level density of states**: 1.19 states/eV/atom
**E above lowest polymorph**: 105 meV/atom

Cell and atoms, written as POSCAR:
```
DyY2Te
1.0
3.872 0.000 0.000
0.000 3.872 0.000
0.000 0.000 7.884
Dy Y Te
1 2 1
direct
0.000 0.000 0.000
0.500 0.500 0.275
0.500 0.500 0.725
0.000 0.000 0.500
```



Density functional theory data (PBE) for an optimized crystal structure of Dy3YTe.

Output
**E_form (uncorrected)**: -0.391 eV per atom
**Fermi-level density of states**: 1.38 states/eV/atom

Cell and atoms, written as POSCAR:
```
Dy3YTe
1.0
8.141 0.000 0.000
0.000 8.917 0.000
-5.256 0.000 8.437
Dy Y Te
12 4 4
direct
0.093 0.123 0.270
0.093 0.377 0.770
0.242 0.058 0.657
0.242 0.442 0.157
0.400 0.678 0.964
0.400 0.822 0.464
0.600 0.178 0.536
0.600 0.322 0.036
0.758 0.558 0.843
0.758 0.942 0.343
0.907 0.623 0.230
0.907 0.877 0.730
0.314 0.062 0.042
0.314 0.438 0.542
0.686 0.562 0.458
0.686 0.938 0.958
0.115 0.712 0.591
0.115 0.788 0.091
0.885 0.212 0.909
0.885 0.288 0.409
```



Density functional theory data (PBE) for an optimized crystal structure of DyY2Te.

Output
**E_form (uncorrected)**: -0.226 eV per atom
**Fermi-level density of states**: 1.71 states/eV/atom
**E above lowest polymorph**: 446 meV/atom

Cell and atoms, written as POSCAR:
```
DyY2Te
1.0
3.831 0.000 0.000
-1.915 3.318 0.000
0.000 0.000 31.997
Dy Y Te
3 6 3
direct
0.000 0.000 0.000
0.333 0.667 0.667
0.667 0.333 0.333
0.000 0.000 0.102
0.000 0.000 0.898
0.333 0.667 0.564
0.333 0.667 0.769
0.667 0.333 0.231
0.667 0.333 0.436
0.000 0.000 0.500
0.333 0.667 0.167
0.667 0.333 0.833
```



Q: Among the records above, which one has the lowest E_form (uncorrected)?
A: number 1